# NdTcBi PBE relaxed
# mass density: 9.59 Mg/m³
# ΔE_f: -0.200 eV per atom
data_NdTcBi
_chemical_formula_sum 'Nd2 Tc2 Bi2'
_space_group_name_H-M_alt 'P 1 21/m 1'
_space_group_IT_number 11
_space_group_name_Hall '-P 2yb'
_cell_length_a 4.722
_cell_length_b 4.228
_cell_length_c 7.861
_cell_angle_alpha 90.00
_cell_angle_beta 95.64
_cell_angle_gamma 90.00
loop_
_atom_site_label
_atom_site_fract_x
_atom_site_fract_y
_atom_site_fract_z
_atom_site_occupancy
Nd1 0.219 0.250 0.331 1
Tc1 0.142 0.750 0.998 1
Bi1 0.305 0.250 0.766 1